Entry 1:
{
  "formula": "BePt5",
  "functional": "PBE",
  "state": "optimized geometry",
  "cell": [[2.570, -4.452, 0.000], [2.570, 4.452, 0.000], [0.000, 0.000, 4.582]],
  "species": ["Pt", "Pt", "Pt", "Pt", "Pt", "Be"],
  "frac_coords": [[0.500, 0.000, 0.500], [0.500, 0.500, 0.500], [0.333, 0.667, 0.000], [0.667, 0.333, 0.000], [0.000, 0.500, 0.500], [0.000, 0.000, 0.000]],
  "formation_enthalpy_0k_ev_per_atom": 0.298,
  "e_above_lowest_polymorph_ev_per_atom": 0.5991,
  "mass_density_g_cm3": 15.588,
  "magnetic_moment_mub_per_fu": 0.0
}

=====

Entry 2:
{
  "formula": "BaBeGeAs2",
  "functional": "PBE",
  "state": "optimized geometry",
  "cell": [[-3.238, 4.530, 1.759], [-2.748, -4.485, -3.203], [-1.594, -3.662, 6.496]],
  "species": ["Be", "Be", "Ba", "Ba", "Ge", "Ge", "As", "As", "As", "As"],
  "frac_coords": [[0.750, 0.000, 0.000], [0.250, 0.000, 0.000], [0.250, 0.500, 0.226], [0.750, 0.500, 0.774], [0.000, 0.000, 0.500], [0.500, 0.000, 0.500], [0.897, 0.793, 0.182], [0.103, 0.207, 0.818], [0.603, 0.207, 0.182], [0.397, 0.793, 0.818]],
  "formation_enthalpy_0k_ev_per_atom": -0.313,
  "mass_density_g_cm3": 5.073,
  "magnetic_moment_mub_per_fu": 0.0
}

=====

Entry 3:
{
  "formula": "HoPIO4",
  "functional": "PBE",
  "state": "optimized geometry",
  "cell": [[6.436, 0.756, -0.477], [2.846, 5.822, -0.477], [1.390, 0.985, 6.300]],
  "species": ["O", "O", "O", "O", "O", "O", "O", "O", "Ho", "Ho", "I", "I", "P", "P"],
  "frac_coords": [[0.518, 0.123, 0.136], [0.877, 0.482, 0.864], [0.693, 0.693, 0.514], [0.482, 0.877, 0.864], [0.499, 0.499, 0.771], [0.307, 0.307, 0.486], [0.123, 0.518, 0.136], [0.501, 0.501, 0.229], [0.304, 0.304, 0.820], [0.696, 0.696, 0.180], [0.962, 0.962, 0.705], [0.038, 0.038, 0.295], [0.635, 0.635, 0.744], [0.365, 0.365, 0.256]],
  "mass_density_g_cm3": 5.646,
  "formation_energy_uncorrected_ev_per_fu": -16.9,
  "magnetic_moment_mub_per_fu": 0.0
}

=====

Entry 4:
{
  "formula": "NiOsC3",
  "functional": "PBE",
  "state": "optimized geometry",
  "cell": [[3.951, 0.000, 0.000], [0.000, 3.951, 0.000], [0.000, 0.000, 3.951]],
  "species": ["C", "C", "C", "Os", "Ni"],
  "frac_coords": [[0.000, 0.500, 0.000], [0.500, 0.000, 0.000], [0.000, 0.000, 0.500], [0.000, 0.000, 0.000], [0.500, 0.500, 0.500]],
  "formation_enthalpy_0k_ev_per_atom": 2.082,
  "e_above_lowest_polymorph_ev_per_atom": 0.0000,
  "mass_density_g_cm3": 7.673,
  "magnetic_moment_mub_per_fu": 0.0
}

=====

Entry 5:
{
  "formula": "Ta2ZnOs",
  "functional": "PBE",
  "state": "optimized geometry",
  "cell": [[-4.863, -1.513, 0.785], [-2.034, -3.068, -3.606], [4.347, 0.103, 2.765]],
  "species": ["Os", "Ta", "Ta", "Zn"],
  "frac_coords": [[0.750, 0.250, 0.500], [0.000, 0.000, 0.000], [0.250, 0.750, 0.500], [0.500, 0.500, 0.000]],
  "formation_enthalpy_0k_ev_per_atom": 0.000,
  "mass_density_g_cm3": 15.786,
  "magnetic_moment_mub_per_fu": 0.0
}

=====

Entry 6:
{
  "formula": "Cr2NiIr",
  "functional": "PBE",
  "state": "optimized geometry",
  "cell": [[4.517, -0.006, 0.000], [3.721, 2.560, 0.000], [0.799, 0.248, 4.235]],
  "species": ["Cr", "Cr", "Ir", "Ni"],
  "frac_coords": [[0.501, 0.501, 0.492], [0.999, 0.999, 0.008], [0.750, 0.750, 0.750], [0.250, 0.250, 0.250]],
  "formation_enthalpy_0k_ev_per_atom": 0.024,
  "mass_density_g_cm3": 12.010,
  "magnetic_moment_mub_per_fu": 0.0
}

=====

Entry 7:
{
  "formula": "SrMgSi3",
  "functional": "PBE",
  "state": "optimized geometry",
  "cell": [[4.981, 0.000, 0.000], [0.000, 4.981, 0.000], [0.000, 0.000, 4.981]],
  "species": ["Sr", "Si", "Si", "Si", "Mg"],
  "frac_coords": [[0.500, 0.500, 0.500], [0.000, 0.500, 0.000], [0.500, 0.000, 0.000], [0.000, 0.000, 0.500], [0.000, 0.000, 0.000]],
  "e_above_lowest_polymorph_ev_per_atom": 0.0000,
  "mass_density_g_cm3": 2.636,
  "formation_energy_uncorrected_ev_per_fu": 2.4,
  "magnetic_moment_mub_per_fu": 0.0
}

=====

Entry 8:
{
  "formula": "RbNa6Pb2",
  "functional": "PBE",
  "state": "optimized geometry",
  "cell": [[-4.751, -2.651, -0.005], [-0.253, -5.133, 2.444], [-3.226, 0.177, 11.396]],
  "species": ["Na", "Na", "Na", "Na", "Na", "Na", "Pb", "Pb", "Rb"],
  "frac_coords": [[0.328, 0.288, 0.055], [0.337, 0.974, 0.353], [0.004, 0.824, 0.169], [0.996, 0.176, 0.831], [0.672, 0.712, 0.945], [0.663, 0.026, 0.647], [0.673, 0.401, 0.252], [0.327, 0.599, 0.748], [0.000, 0.500, 0.500]],
  "formation_enthalpy_0k_ev_per_atom": -0.103,
  "e_above_lowest_polymorph_ev_per_atom": 0.0000,
  "mass_density_g_cm3": 3.611,
  "magnetic_moment_mub_per_fu": 0.0
}

=====

Entry 9:
{
  "formula": "LiAc2As4Pd3",
  "functional": "PBE",
  "state": "optimized geometry",
  "cell": [[-1.256, -4.177, -1.195], [3.437, -0.195, -2.932], [5.997, -3.889, 7.289]],
  "species": ["Pd", "Pd", "Pd", "As", "As", "As", "As", "Ac", "Ac", "Li"],
  "frac_coords": [[0.500, 0.000, 0.884], [0.000, 0.000, 0.500], [0.000, 0.500, 0.116], [0.500, 0.000, 0.633], [0.000, 0.000, 0.000], [0.500, 0.500, 0.000], [0.000, 0.500, 0.367], [0.500, 0.000, 0.249], [0.000, 0.500, 0.751], [0.500, 0.500, 0.500]],
  "formation_enthalpy_0k_ev_per_atom": -0.950,
  "mass_density_g_cm3": 8.589,
  "magnetic_moment_mub_per_fu": 0.0
}

=====

Entry 10:
{
  "formula": "SrZn2SnRu",
  "functional": "PBE",
  "state": "optimized geometry",
  "cell": [[4.931, 0.000, 0.000], [0.000, 4.931, 0.000], [0.000, 0.000, 5.031]],
  "species": ["Sn", "Sr", "Zn", "Zn", "Ru"],
  "frac_coords": [[0.000, 0.000, 0.500], [0.500, 0.500, 0.500], [0.000, 0.500, 0.000], [0.500, 0.000, 0.000], [0.000, 0.000, 0.000]],
  "formation_enthalpy_0k_ev_per_atom": -0.191,
  "mass_density_g_cm3": 5.948,
  "magnetic_moment_mub_per_fu": 0.0
}

=====

Entry 11:
{
  "formula": "Sm8HgPb5",
  "functional": "PBE",
  "state": "optimized geometry",
  "cell": [[-7.495, 3.449, -0.705], [-0.740, -7.690, 2.983], [4.604, 4.559, 5.157]],
  "species": ["Sm", "Sm", "Sm", "Sm", "Sm", "Sm", "Sm", "Sm", "Hg", "Pb", "Pb", "Pb", "Pb", "Pb"],
  "frac_coords": [[0.124, 0.755, 0.517], [0.762, 0.245, 0.370], [0.483, 0.607, 0.238], [0.265, 0.249, 0.380], [0.620, 0.885, 0.869], [0.630, 0.393, 0.876], [0.131, 0.751, 0.016], [0.984, 0.115, 0.735], [0.250, 0.500, 0.750], [0.500, 0.000, 0.500], [0.753, 0.624, 0.625], [0.871, 0.873, 0.247], [0.375, 0.127, 0.998], [0.002, 0.376, 0.129]],
  "formation_enthalpy_0k_ev_per_atom": -0.514,
  "mass_density_g_cm3": 9.267,
  "magnetic_moment_mub_per_fu": 0.0
}

=====

Entry 12:
{
  "formula": "Zn8CdPd4",
  "functional": "PBE",
  "state": "optimized geometry",
  "cell": [[-0.120, 0.412, 4.283], [2.759, -0.760, 0.151], [4.447, 15.856, -1.399]],
  "species": ["Pd", "Pd", "Pd", "Pd", "Zn", "Zn", "Zn", "Zn", "Zn", "Zn", "Zn", "Zn", "Cd"],
  "frac_coords": [[0.500, 0.500, 0.452], [0.000, 0.500, 0.643], [0.000, 0.000, 0.061], [0.500, 0.000, 0.878], [0.000, 0.000, 0.781], [0.500, 0.000, 0.168], [0.500, 0.500, 0.738], [0.000, 0.500, 0.923], [0.000, 0.500, 0.199], [0.500, 0.500, 0.021], [0.000, 0.000, 0.503], [0.500, 0.000, 0.594], [0.000, 0.000, 0.342]],
  "formation_enthalpy_0k_ev_per_atom": -0.319,
  "mass_density_g_cm3": 8.646,
  "magnetic_moment_mub_per_fu": 0.0
}